This record from Alexandria describes an optimized crystal structure of NdMgSn. The functional is PBEsol.

Cell and atoms, written as POSCAR:
```
NdMgSn
1.0
-3.763 0.476 -2.333
0.794 -3.863 -2.069
-2.552 -2.199 7.919
Nd Mg Sn
2 2 2
Cartesian
-2.702 -2.605 3.827
-2.820 -2.981 -0.309
-1.882 0.238 -1.166
0.397 -1.931 -1.034
-4.440 -4.542 1.985
-1.082 -1.043 1.533
```

This record from Alexandria describes an optimized crystal structure of NdMgTl. The functional is PBEsol.

Cell and atoms, written as POSCAR:
```
NdMgTl
1.0
-1.807 -3.870 -1.960
6.998 -2.208 -2.093
-2.804 -2.121 6.773
Nd Tl Mg
3 3 3
Cartesian
2.989 -0.943 -0.894
2.403 -2.480 2.681
-1.197 -0.906 2.892
0.000 0.000 0.000
-0.440 -4.085 2.837
2.827 -4.114 -0.118
0.116 -2.987 0.157
4.394 -3.606 -2.565
-3.026 -3.541 4.146
```

This record from Alexandria describes an optimized crystal structure of NdYMg2. The functional is PBEsol.

Cell and atoms, written as POSCAR:
```
NdYMg2
1.0
-3.734 -0.998 -3.718
0.923 -3.656 -3.814
-2.657 -4.659 0.051
Mg Y Nd
2 1 1
Cartesian
-1.367 -2.328 -1.870
-4.101 -6.984 -5.611
-2.734 -4.656 -3.741
0.000 0.000 0.000
```

This record from Alexandria describes an optimized crystal structure of NdMgZn2. The functional is PBEsol.

Cell and atoms, written as POSCAR:
```
NdMgZn2
1.0
-1.225 4.217 2.083
-4.601 1.556 -0.186
-2.723 0.021 4.026
Zn Nd Mg
2 1 1
Cartesian
-6.412 4.345 4.442
-2.137 1.448 1.481
0.000 0.000 0.000
-4.275 2.897 2.962
```

This record from Alexandria describes an optimized crystal structure of Mg7Ni. The functional is PBEsol.

Cell and atoms, written as POSCAR:
```
Mg7Ni
1.0
6.064 0.000 0.000
3.032 5.252 0.000
3.032 1.751 4.951
Mg Ni
7 1
Cartesian
4.548 2.626 0.000
1.516 0.875 2.476
3.032 3.501 2.476
6.064 3.501 2.476
3.032 0.000 0.000
1.516 2.626 0.000
4.548 0.875 2.476
0.000 0.000 0.000
```

This record from Alexandria describes an optimized crystal structure of Mg2Ni. The functional is PBEsol.

Cell and atoms, written as POSCAR:
```
Mg2Ni
1.0
-1.957 -1.387 4.538
-2.536 -1.087 -4.328
6.242 -11.403 -0.793
Mg Ni
12 6
Cartesian
-0.256 -2.014 2.177
4.541 -10.776 1.568
-0.888 -3.718 -0.068
-0.360 -4.937 -3.133
3.616 -9.466 -2.785
0.557 -6.358 -0.251
0.029 -5.139 2.814
-3.336 -1.888 0.888
0.730 -9.441 -1.101
3.100 -8.238 0.253
-1.157 -0.586 -0.678
2.171 -6.825 -2.601
2.143 -6.395 1.872
2.955 -10.740 -0.556
-0.228 -2.444 -2.296
5.202 -9.503 -0.661
3.121 -5.702 -0.397
1.040 -1.901 -0.132
```

This record from Alexandria describes an optimized crystal structure of MgNi3. The functional is PBEsol.

Cell and atoms, written as POSCAR:
```
MgNi3
1.0
-1.324 -1.625 1.515
2.376 -3.336 -1.502
2.944 2.026 2.537
Ni Mg
3 1
Cartesian
1.150 -1.083 2.050
2.846 -1.852 0.500
0.526 -2.480 0.007
0.000 0.000 0.000
```

This record from Alexandria describes an optimized crystal structure of Mg5Ni. The functional is PBEsol.

Cell and atoms, written as POSCAR:
```
Mg5Ni
1.0
4.725 0.000 0.000
0.000 5.236 0.000
0.000 -2.618 4.534
Mg Ni
5 1
Cartesian
0.000 0.814 1.410
2.362 2.618 1.511
0.000 3.608 0.000
0.000 -1.804 3.124
2.362 0.000 3.023
2.362 0.000 0.000
```

no.,calculated density (kg/m³),energy of formation from the pure elements (meV/atom)
1,6007,-643
2,7839,-413
3,4289,-106
4,6123,-334
5,2410,82
6,3597,-150
7,7183,-6
8,2668,29